Entry from OQMD: an optimized crystal structure of Li2TcSn (PBE).

Crystal system ... cubic
E_tot ... -18.08 eV per formula unit

a = 6.3016 Å, b = 6.3016 Å, c = 6.3016 Å
α = 90.00°, β = 90.00°, γ = 90.00°
Last column: nearest neighbours and their distance in Å.
Space group F-43m (No. 216)
Inequivalent atoms, fractional coordinates:
Li  0.0000  0.0000  0.0000  4 Li 2.73, 4 Tc 2.73
Li  0.2500  0.2500  0.2500  4 Sn 2.73, 4 Li 2.73
Tc  0.2500  0.2500  0.7500  4 Sn 2.73, 4 Li 2.73
Sn  0.0000  0.0000  0.5000  4 Tc 2.73, 4 Li 2.73

***

Entry from OQMD: an optimized crystal structure of Dy6InPd2 (PBE).

Crystal system ... orthorhombic
E_tot ... -45.61 eV per formula unit

a = 9.4463 Å, b = 9.7761 Å, c = 10.4222 Å
α = 90.00°, β = 90.00°, γ = 90.00°
Last column: nearest neighbours and their distance in Å.
Space group Immm (No. 71)
Inequivalent atoms, fractional coordinates:
Dy  0.0000  0.1991  0.2369  1 Pd 2.85, 1 In 3.14
Dy  0.1996  0.5000  0.1735  3 Pd 2.76-3.02
Dy  0.2103  0.3166  0.5000  3 Pd 3.01-3.16, 1 In 3.27
In  0.0000  0.0000  0.0000  8 Dy 3.14-3.27, 2 Pd 3.37
In  0.0000  0.0000  0.5000  12 Dy 3.36-3.68
Pd  0.0000  0.3449  0.0000  8 Dy 2.85-3.16, 1 Pd 3.03
Pd  0.0000  0.5000  0.3674  6 Dy 2.76-3.01, 1 Pd 2.76

***

Q: Which of these has the highest E_tot?
A: Li2TcSn

***

Q: The highest E_tot belongs to which entry?
A: Li2TcSn

***

What did the first record say?
Entry from OQMD: an optimized crystal structure of Li2TcSn (PBE).

Crystal system ... cubic
E_tot ... -18.08 eV per formula unit

a = 6.3016 Å, b = 6.3016 Å, c = 6.3016 Å
α = 90.00°, β = 90.00°, γ = 90.00°
Last column: nearest neighbours and their distance in Å.
Space group F-43m (No. 216)
Inequivalent atoms, fractional coordinates:
Li  0.0000  0.0000  0.0000  4 Li 2.73, 4 Tc 2.73
Li  0.2500  0.2500  0.2500  4 Sn 2.73, 4 Li 2.73
Tc  0.2500  0.2500  0.7500  4 Sn 2.73, 4 Li 2.73
Sn  0.0000  0.0000  0.5000  4 Tc 2.73, 4 Li 2.73